# PBE Ba6BiAu3, optimized geometry
data_Ba6BiAu3
_cell_length_a 13.5667
_cell_length_b 4.9016
_cell_length_c 13.9908
_cell_angle_alpha 90.00
_cell_angle_beta 108.19
_cell_angle_gamma 90.00
_symmetry_space_group_name_H-M 'P 1 21/m 1'
_symmetry_Int_Tables_number 11
loop_
_symmetry_equiv_pos_as_xyz
'x,y,z'
'-x,-y,-z'
'-x,y+1/2,-z'
'x,-y+1/2,z'
loop_
_atom_site_label
_atom_site_type_symbol
_atom_site_fract_x
_atom_site_fract_y
_atom_site_fract_z
Ba1 Ba 0.0252 0.2500 0.3888
Ba2 Ba 0.1054 0.2500 0.9397
Ba3 Ba 0.2297 0.7500 0.2712
Ba4 Ba 0.3038 0.7500 0.7595
Ba5 Ba 0.3789 0.2500 0.5410
Ba6 Ba 0.4209 0.7500 0.0965
Bi1 Bi 0.4470 0.2500 0.3059
Au1 Au 0.0610 0.2500 0.1648
Au2 Au 0.1830 0.7500 0.5042
Au3 Au 0.3449 0.2500 0.9238
# E = -63.603 eV/cell
# DFT formation energy = -655 meV/atom
# magnetic moment = 0.0 μB per formula unit